Here is a relaxed Mg3ScSn6 crystal from the Alexandria database. Energies are from PBE.

Unit cell a=4.443 b=10.120 c=10.884 alpha=85.86 beta=89.99 gamma=89.98
Space group P-1 (No. 2)
Asymmetric unit:
Mg  0.250  0.056  0.098 (multiplicity 2)
Mg  0.250  0.247  0.502 (multiplicity 2)
Mg  0.250  0.850  0.698 (multiplicity 2)
Sc  0.251  0.440  0.884 (multiplicity 2)
Sn  0.249  0.657  0.299 (multiplicity 2)
Sn  0.250  0.349  0.189 (multiplicity 2)
Sn  0.250  0.740  0.993 (multiplicity 2)
Sn  0.250  0.951  0.398 (multiplicity 2)
Sn  0.251  0.138  0.815 (multiplicity 2)
Sn  0.251  0.564  0.602 (multiplicity 2)

Properties
For the calculated formation energy, the calculation gives -0.165 eV/atom.